# 1
# MgTl2Se GGA-PBE optimized geometry
# - space group = C2/m
# - DFT total energy (Ry/atom) = -0.1978
# - calculated volume (A^3/atom) = 26.9
data_MgTl2Se
_space_group_name_H-M_alt 'P 1'
_space_group_IT_number 1
_cell_length_a 6.497
_cell_length_b 6.497
_cell_length_c 4.281
_cell_angle_alpha 108.63
_cell_angle_beta 108.63
_cell_angle_gamma 124.78
loop_
_space_group_symop_operation_xyz
'x,y,z'
loop_
_atom_site_label
_atom_site_fract_x
_atom_site_fract_y
_atom_site_fract_z
Mg1 0.000 0.000 0.000
Tl1 0.000 0.500 0.500
Tl2 0.500 0.000 0.500
Se1 0.500 0.500 0.000

# 2
# Mg2TlSe GGA-PBE optimized geometry
# - space group = I4/mmm
# - DFT total energy (Ry/atom) = -0.1812
# - calculated volume (A^3/atom) = 23.6
# - offset from the most stable computed form (meV/atom) = 328
data_Mg2TlSe
_space_group_name_H-M_alt 'P 1'
_space_group_IT_number 1
_cell_length_a 5.480
_cell_length_b 5.480
_cell_length_c 5.480
_cell_angle_alpha 129.95
_cell_angle_beta 129.95
_cell_angle_gamma 73.48
loop_
_space_group_symop_operation_xyz
'x,y,z'
loop_
_atom_site_label
_atom_site_fract_x
_atom_site_fract_y
_atom_site_fract_z
Mg1 0.250 0.750 0.500
Mg2 0.750 0.250 0.500
Tl1 0.000 0.000 0.000
Se1 0.500 0.500 0.000

# 3
# MgTl2Se GGA-PBE optimized geometry
# - space group = F-43m
# - DFT total energy (Ry/atom) = -0.1856
# - calculated volume (A^3/atom) = 27.3
data_MgTl2Se
_space_group_name_H-M_alt 'P 1'
_space_group_IT_number 1
_cell_length_a 5.367
_cell_length_b 5.367
_cell_length_c 5.367
_cell_angle_alpha 60.00
_cell_angle_beta 60.00
_cell_angle_gamma 60.00
loop_
_space_group_symop_operation_xyz
'x,y,z'
loop_
_atom_site_label
_atom_site_fract_x
_atom_site_fract_y
_atom_site_fract_z
Mg1 0.000 0.000 0.000
Tl1 0.500 0.500 0.500
Tl2 0.750 0.750 0.750
Se1 0.250 0.250 0.250

# 4
# MgTl2Se GGA-PBE optimized geometry
# - space group = R-3m
# - DFT total energy (Ry/atom) = -0.1880
# - calculated volume (A^3/atom) = 29.2
data_MgTl2Se
_space_group_name_H-M_alt 'P 1'
_space_group_IT_number 1
_cell_length_a 8.078
_cell_length_b 8.078
_cell_length_c 8.078
_cell_angle_alpha 30.00
_cell_angle_beta 30.00
_cell_angle_gamma 30.00
loop_
_space_group_symop_operation_xyz
'x,y,z'
loop_
_atom_site_label
_atom_site_fract_x
_atom_site_fract_y
_atom_site_fract_z
Mg1 0.000 0.000 0.000
Tl1 0.244 0.244 0.244
Tl2 0.756 0.756 0.756
Se1 0.500 0.500 0.500

# 5
# MgTlSe4 GGA-PBE optimized geometry
# - space group = F-43m
# - DFT total energy (Ry/atom) = -0.2084
# - calculated volume (A^3/atom) = 24.3
data_MgTlSe4
_space_group_name_H-M_alt 'P 1'
_space_group_IT_number 1
_cell_length_a 5.910
_cell_length_b 5.910
_cell_length_c 5.910
_cell_angle_alpha 60.00
_cell_angle_beta 60.00
_cell_angle_gamma 60.00
loop_
_space_group_symop_operation_xyz
'x,y,z'
loop_
_atom_site_label
_atom_site_fract_x
_atom_site_fract_y
_atom_site_fract_z
Mg1 0.000 0.000 0.000
Tl1 0.250 0.250 0.250
Se1 0.121 0.626 0.626
Se2 0.626 0.121 0.626
Se3 0.626 0.626 0.121
Se4 0.626 0.626 0.626

# 6
# MgTl2Se GGA-PBE optimized geometry
# - space group = Immm
# - DFT total energy (Ry/atom) = -0.2087
# - calculated volume (A^3/atom) = 28.2
data_MgTl2Se
_space_group_name_H-M_alt 'P 1'
_space_group_IT_number 1
_cell_length_a 8.450
_cell_length_b 8.450
_cell_length_c 8.450
_cell_angle_alpha 154.60
_cell_angle_beta 154.12
_cell_angle_gamma 36.58
loop_
_space_group_symop_operation_xyz
'x,y,z'
loop_
_atom_site_label
_atom_site_fract_x
_atom_site_fract_y
_atom_site_fract_z
Mg1 0.000 0.000 0.000
Tl1 0.180 0.680 0.500
Tl2 0.820 0.320 0.500
Se1 0.500 0.500 0.000

# 7
# MgTlSe2 GGA-PBE optimized geometry
# - space group = P4mm
# - DFT total energy (Ry/atom) = -0.2488
# - calculated volume (A^3/atom) = 24.8
data_MgTlSe2
_space_group_name_H-M_alt 'P 1'
_space_group_IT_number 1
_cell_length_a 4.075
_cell_length_b 4.075
_cell_length_c 5.963
_cell_angle_alpha 90.00
_cell_angle_beta 90.00
_cell_angle_gamma 90.00
loop_
_space_group_symop_operation_xyz
'x,y,z'
loop_
_atom_site_label
_atom_site_fract_x
_atom_site_fract_y
_atom_site_fract_z
Mg1 0.000 0.000 0.000
Tl1 0.500 0.500 0.499
Se1 0.000 0.000 0.499
Se2 0.500 0.500 0.999

# 8
# MgTl2Se GGA-PBE optimized geometry
# - space group = P4mm
# - DFT total energy (Ry/atom) = -0.2083
# - calculated volume (A^3/atom) = 26.9
data_MgTl2Se
_space_group_name_H-M_alt 'P 1'
_space_group_IT_number 1
_cell_length_a 3.706
_cell_length_b 3.706
_cell_length_c 7.848
_cell_angle_alpha 90.00
_cell_angle_beta 90.00
_cell_angle_gamma 90.00
loop_
_space_group_symop_operation_xyz
'x,y,z'
loop_
_atom_site_label
_atom_site_fract_x
_atom_site_fract_y
_atom_site_fract_z
Mg1 0.000 0.000 0.000
Tl1 0.000 0.000 0.436
Tl2 0.500 0.500 0.703
Se1 0.500 0.500 0.098